Compound: YReAg2
Source: the Alexandria database
Functional: PBE-GGA
Structure: relaxed

Output
Calculated density = 10.75 g/cm³
Calculated total energy = -5.71 eV per atom
Formation energy = 0.45 eV per atom

Unit cell a=5.6749 b=9.8908 c=2.8470 alpha=90.00 beta=108.45 gamma=90.00
Space group C2/m (No. 12)
Inequivalent atoms, fractional coordinates:
Y 0.0000 0.0000 0.0000
Re 0.0000 0.5000 0.0000
Ag 0.2500 0.2500 0.5000

---

Compound: HfTi3Co2
Source: the Alexandria database
Functional: PBE-GGA
Structure: relaxed

Output
Calculated density = 7.86 g/cm³
Calculated total energy = -8.20 eV per atom
Formation energy = -0.23 eV per atom

Unit cell a=13.6612 b=4.3094 c=7.0165 alpha=90.00 beta=115.84 gamma=90.00
Space group C2/m (No. 12)
Inequivalent atoms, fractional coordinates:
Hf 0.1274 0.0000 0.1921
Ti 0.0624 0.0000 0.7174
Ti 0.1117 0.5000 0.5065
Ti 0.1967 0.5000 0.9864
Co 0.0143 0.5000 0.8453
Co 0.2228 0.0000 0.6226

---

Compound: Cd2Pd3O8
Source: the Alexandria database
Functional: PBE-GGA
Structure: relaxed

Output
Calculated density = 6.57 g/cm³
Formation energy (no corrections) = -0.603 eV per atom
Calculated total energy = -4.99 eV per atom

Unit cell a=10.8781 b=6.2178 c=5.2746 alpha=90.00 beta=107.83 gamma=90.00
Space group C2/m (No. 12)
Inequivalent atoms, fractional coordinates:
Cd 0.2135 0.0000 0.1415
Pd 0.0000 0.2477 0.5000
Pd 0.0000 0.5000 0.0000
O 0.1001 0.5000 0.4012
O 0.1070 0.0000 0.4422
O 0.1111 0.2794 0.8855